The following is a PBE calculation of crystalline Ac2AlGaSi at its relaxed geometry, from the Alexandria database.

Calculated values
Calculated total energy, eV per atom: -4.539
Space group: P2_1/m, No. 11

Cell lengths 4.5275, 8.0503, 8.0781 Å; angles 90.15, 90.00, 90.00 degrees
With the nearest neighbours (Å) after each atom.
Sites, in units of the cell vectors:
Ac  0.7500  0.7759  0.4908  3 Si 3.23-3.30, 3 Ga 3.37-3.54, 3 Al 3.44-3.49
Ac  0.7500  0.7745  0.0099  3 Si 3.23-3.29, 3 Ga 3.38-3.54, 3 Al 3.45-3.50
Ac  0.2500  0.2241  0.5092  3 Si 3.23-3.30, 3 Ga 3.37-3.54, 3 Al 3.44-3.49
Ac  0.2500  0.2255  0.9901  3 Si 3.23-3.29, 3 Ga 3.38-3.54, 3 Al 3.45-3.50
Al  0.2500  0.5861  0.7483  1 Si 2.47, 2 Ga 2.63
Al  0.7500  0.4139  0.2517  1 Si 2.47, 2 Ga 2.63
Ga  0.2500  0.5795  0.2512  2 Al 2.63
Ga  0.7500  0.4205  0.7488  2 Al 2.63
Si  0.2500  0.8935  0.7507  1 Al 2.47
Si  0.7500  0.1065  0.2493  1 Al 2.47